DFT (PBE) results for crystalline TlTe2Pd at its relaxed geometry.

Cell: 5.976 13.309 6.491 Å, 90.00 115.29 90.00°
Space group C2/c (No. 15)
Asymmetric unit:
Tl  0.000  0.122  0.250 [4 per cell]
Te  0.177  0.375  0.157 [8 per cell]
Pd  0.000  0.284  0.750 [4 per cell]

Values from the calculation:
Relative energy among the computed polymorphs, eV/f.u.: 0.25
Formation energy (no corrections), eV/atom: -0.207
Fermi-level density of states, states/eV/atom: 0.489